No. 1
{"formula": "LiTe3", "functional": "PBEsol", "state": "relaxed", "total_energy_ev_per_atom": -3.520, "e_above_lowest_polymorph_mev_per_atom": 0.0, "crystal_system": "cubic", "sg": "No. 229", "n_ef_per_ev_cell": 1.91, "cell": [[6.0544, 0.0000, 0.0000], [0.0000, 6.0544, 0.0000], [0.0000, 0.0000, 6.0544]], "species": ["Li", "Li", "Te", "Te", "Te", "Te", "Te", "Te"], "frac_coords": [[0.0000, 0.0000, 0.0000], [0.5000, 0.5000, 0.5000], [0.0000, 0.0000, 0.5000], [0.0000, 0.5000, 0.0000], [0.0000, 0.5000, 0.5000], [0.5000, 0.0000, 0.0000], [0.5000, 0.0000, 0.5000], [0.5000, 0.5000, 0.0000]]}

***

No. 2
{"formula": "Li2Te", "functional": "PBEsol", "state": "relaxed", "total_energy_ev_per_atom": -3.513, "e_above_lowest_polymorph_mev_per_atom": 0.0, "crystal_system": "cubic", "sg": "No. 225", "n_ef_per_ev_cell": 0.00, "cell": [[6.4444, 0.0000, 0.0000], [0.0000, 6.4444, 0.0000], [0.0000, 0.0000, 6.4444]], "species": ["Li", "Li", "Li", "Li", "Li", "Li", "Li", "Li", "Te", "Te", "Te", "Te"], "frac_coords": [[0.2500, 0.2500, 0.2500], [0.2500, 0.2500, 0.7500], [0.2500, 0.7500, 0.2500], [0.2500, 0.7500, 0.7500], [0.7500, 0.2500, 0.2500], [0.7500, 0.2500, 0.7500], [0.7500, 0.7500, 0.2500], [0.7500, 0.7500, 0.7500], [0.0000, 0.0000, 0.0000], [0.0000, 0.5000, 0.5000], [0.5000, 0.0000, 0.5000], [0.5000, 0.5000, 0.0000]]}

***

No. 3
{"formula": "Li2Te", "functional": "PBEsol", "state": "relaxed", "total_energy_ev_per_atom": -3.436, "e_above_lowest_polymorph_mev_per_atom": 76.7, "crystal_system": "hexagonal", "sg": "No. 194", "n_ef_per_ev_cell": 0.00, "cell": [[4.6091, 0.0000, 0.0000], [-2.3045, 3.9916, 0.0000], [0.0000, 0.0000, 6.4849]], "species": ["Li", "Li", "Li", "Li", "Te", "Te"], "frac_coords": [[0.0000, 0.0000, 0.0000], [0.0000, 0.0000, 0.5000], [0.3333, 0.6667, 0.2500], [0.6667, 0.3333, 0.7500], [0.3333, 0.6667, 0.7500], [0.6667, 0.3333, 0.2500]]}

***

No. 4
{"formula": "Li3Te", "functional": "PBEsol", "state": "relaxed", "total_energy_ev_per_atom": -2.870, "e_above_lowest_polymorph_mev_per_atom": 211.4, "crystal_system": "tetragonal", "sg": "No. 123", "n_ef_per_ev_cell": 1.92, "cell": [[3.8306, 0.0000, 0.0000], [0.0000, 3.8306, 0.0000], [0.0000, 0.0000, 5.6772]], "species": ["Li", "Li", "Li", "Te"], "frac_coords": [[0.0000, 0.0000, 0.0000], [0.5000, 0.5000, 0.2818], [0.5000, 0.5000, 0.7182], [0.0000, 0.0000, 0.5000]]}

***

No. 5
{"formula": "LiTe3", "functional": "PBEsol", "state": "relaxed", "total_energy_ev_per_atom": -3.466, "e_above_lowest_polymorph_mev_per_atom": 54.4, "crystal_system": "orthorhombic", "sg": "No. 71", "n_ef_per_ev_cell": 3.00, "cell": [[4.2702, 0.0000, 0.0000], [0.0000, 4.4244, 0.0000], [0.0000, 0.0000, 12.0716]], "species": ["Li", "Li", "Te", "Te", "Te", "Te", "Te", "Te"], "frac_coords": [[0.0000, 0.0000, 0.0000], [0.5000, 0.5000, 0.5000], [0.0000, 0.0000, 0.2536], [0.0000, 0.0000, 0.5000], [0.0000, 0.0000, 0.7464], [0.5000, 0.5000, 0.0000], [0.5000, 0.5000, 0.2464], [0.5000, 0.5000, 0.7536]]}

***

No. 6
{"formula": "Li3TiTe", "functional": "PBEsol", "state": "relaxed", "total_energy_ev_per_atom": -2.797, "crystal_system": "cubic", "sg": "No. 221", "n_ef_per_ev_cell": 3.56, "cell": [[4.9847, 0.0000, 0.0000], [0.0000, 4.9847, 0.0000], [0.0000, 0.0000, 4.9847]], "species": ["Li", "Li", "Li", "Ti", "Te"], "frac_coords": [[0.0000, 0.0000, 0.5000], [0.0000, 0.5000, 0.0000], [0.5000, 0.0000, 0.0000], [0.0000, 0.0000, 0.0000], [0.5000, 0.5000, 0.5000]]}

***

No. 7
{"formula": "LiTl2Te", "functional": "PBEsol", "state": "relaxed", "total_energy_ev_per_atom": -3.012, "e_above_lowest_polymorph_mev_per_atom": 0.0, "crystal_system": "tetragonal", "sg": "No. 139", "n_ef_per_ev_cell": 2.96, "cell": [[4.3698, 0.0000, 0.0000], [0.0000, 4.3698, 0.0000], [0.0000, 0.0000, 11.2639]], "species": ["Li", "Li", "Tl", "Tl", "Tl", "Tl", "Te", "Te"], "frac_coords": [[0.0000, 0.0000, 0.0000], [0.5000, 0.5000, 0.5000], [0.0000, 0.5000, 0.2500], [0.0000, 0.5000, 0.7500], [0.5000, 0.0000, 0.2500], [0.5000, 0.0000, 0.7500], [0.0000, 0.0000, 0.5000], [0.5000, 0.5000, 0.0000]]}

***

No. 8
{"formula": "LiTlTe", "functional": "PBEsol", "state": "relaxed", "total_energy_ev_per_atom": -3.122, "e_above_lowest_polymorph_mev_per_atom": 127.4, "crystal_system": "tetragonal", "sg": "No. 107", "n_ef_per_ev_cell": 0.71, "cell": [[4.2539, 0.0000, 0.0000], [0.0000, 4.2539, 0.0000], [0.0000, 0.0000, 9.1252]], "species": ["Li", "Li", "Tl", "Tl", "Te", "Te"], "frac_coords": [[0.0000, 0.0000, 0.0000], [0.5000, 0.5000, 0.5000], [0.0000, 0.0000, 0.6859], [0.5000, 0.5000, 0.1859], [0.0000, 0.0000, 0.3399], [0.5000, 0.5000, 0.8400]]}

***

No. 9
{"formula": "LiTlTe2", "functional": "PBEsol", "state": "relaxed", "total_energy_ev_per_atom": -3.254, "crystal_system": "orthorhombic", "sg": "No. 65", "n_ef_per_ev_cell": 4.16, "cell": [[6.0879, 0.0000, 0.0000], [0.0000, 8.4433, 0.0000], [0.0000, 0.0000, 4.3572]], "species": ["Li", "Li", "Tl", "Tl", "Te", "Te", "Te", "Te"], "frac_coords": [[0.0000, 0.0000, 0.0000], [0.5000, 0.5000, 0.0000], [0.0000, 0.5000, 0.0000], [0.5000, 0.0000, 0.0000], [0.2500, 0.2500, 0.5000], [0.2500, 0.7500, 0.5000], [0.7500, 0.2500, 0.5000], [0.7500, 0.7500, 0.5000]]}

***

No. 10
{"formula": "Li4TlTe", "functional": "PBEsol", "state": "relaxed", "total_energy_ev_per_atom": -2.549, "crystal_system": "cubic", "sg": "No. 216", "n_ef_per_ev_cell": 3.52, "cell": [[0.0000, 3.9243, 3.9243], [3.9243, 0.0000, 3.9243], [3.9243, 3.9243, 0.0000]], "species": ["Li", "Li", "Li", "Li", "Tl", "Te"], "frac_coords": [[0.1243, 0.1243, 0.1243], [0.1243, 0.1243, 0.6272], [0.1243, 0.6272, 0.1243], [0.6272, 0.1243, 0.1243], [0.7500, 0.7500, 0.7500], [0.5000, 0.5000, 0.5000]]}

***

No. 11
{"formula": "LiTlTe2", "functional": "PBEsol", "state": "relaxed", "total_energy_ev_per_atom": -3.278, "crystal_system": "tetragonal", "sg": "No. 123", "n_ef_per_ev_cell": 1.69, "cell": [[4.0271, 0.0000, 0.0000], [0.0000, 4.0271, 0.0000], [0.0000, 0.0000, 6.6715]], "species": ["Li", "Tl", "Te", "Te"], "frac_coords": [[0.0000, 0.0000, 0.0000], [0.0000, 0.0000, 0.5000], [0.5000, 0.5000, 0.2179], [0.5000, 0.5000, 0.7821]]}

***

No. 12
{"formula": "LiTlTe", "functional": "PBEsol", "state": "relaxed", "total_energy_ev_per_atom": -3.249, "e_above_lowest_polymorph_mev_per_atom": 0.0, "crystal_system": "cubic", "sg": "No. 216", "cell": [[6.8459, 0.0000, 0.0000], [0.0000, 6.8459, 0.0000], [0.0000, 0.0000, 6.8459]], "species": ["Li", "Li", "Li", "Li", "Tl", "Tl", "Tl", "Tl", "Te", "Te", "Te", "Te"], "frac_coords": [[0.0000, 0.0000, 0.0000], [0.0000, 0.5000, 0.5000], [0.5000, 0.0000, 0.5000], [0.5000, 0.5000, 0.0000], [0.2500, 0.2500, 0.2500], [0.2500, 0.7500, 0.7500], [0.7500, 0.2500, 0.7500], [0.7500, 0.7500, 0.2500], [0.2500, 0.2500, 0.7500], [0.2500, 0.7500, 0.2500], [0.7500, 0.2500, 0.2500], [0.7500, 0.7500, 0.7500]]}